#w
DFT (PBE) results for crystalline Os2W at its relaxed geometry.

Computed properties:
The calculation puts the density of states at the Fermi level at 0.8466 states/eV/atom.

Structure (extended XYZ):
```
6
Lattice="-3.459 -0.460 3.343 -0.861 -1.244 -4.589 1.382 -4.135 0.861" Properties=species:S:1:pos:R:3 pbc="T T T"
W -2.521 -4.504 -0.381
W -0.417 -1.335 -0.005
Os -0.833 -3.533 1.573
Os 0.045 -3.798 -1.107
Os -2.983 -2.041 0.722
Os -2.105 -2.306 -1.959
```

=====

#x
DFT (PBE) results for crystalline Os2W at its relaxed geometry.

Computed properties:
The calculation puts the density of states at the Fermi level at 1.0490 states/eV/atom.

Structure (extended XYZ):
```
3
Lattice="-0.474 -4.714 0.828 -3.934 -1.714 2.173 1.773 2.470 -3.727" Properties=species:S:1:pos:R:3 pbc="T T T"
W 0.000 0.000 0.000
Os -2.951 -4.304 2.009
Os -1.456 -2.124 0.992
```

=====

Bottom line: #w, by a margin of 7.5 kJ/mol of atoms.